Computed, not measured: an optimized crystal structure of NdSm2Zn2Ga2 at the PBE level of DFT.

## Properties
ΔH_f (0 K): -0.40 eV per atom
Electronic total energy: -3.662 eV per atom
ρ: 7.140 g cm⁻³
Total magnetization: 0.00 μB per cell

```
data_NdSm2Zn2Ga2
_chemical_formula_sum 'Nd3 Sm6 Zn6 Ga6'
_cell_length_a 4.4975
_cell_length_b 4.4975
_cell_length_c 28.4854
_cell_angle_alpha 90.00
_cell_angle_beta 90.00
_cell_angle_gamma 120.00
_space_group_name_H-M_alt 'R -3 m'
_space_group_IT_number 166
_space_group_name_Hall '-R 3 2"'
loop_
_atom_site_label
_atom_site_type_symbol
_atom_site_fract_x
_atom_site_fract_y
_atom_site_fract_z
Nd1 Nd 0.0000 0.0000 0.0000
Sm1 Sm 0.0000 0.0000 0.1274
Zn1 Zn 0.0000 0.0000 0.4008
Ga1 Ga 0.0000 0.0000 0.2624
```